NdSm3Bi2 | PBE | relaxed

```
NdSm3Bi2
1.0
-1.330 -3.592 2.284
10.201 1.191 3.459
-7.932 5.223 3.594
Bi Sm Nd
4 6 2
Cartesian
2.390 -0.948 4.254
-1.875 -0.895 1.855
-1.451 3.771 5.083
2.813 3.717 7.483
-4.375 2.276 5.384
3.360 0.585 7.230
5.314 0.547 3.954
-0.926 0.509 4.614
-2.422 2.237 2.108
1.865 2.314 4.724
-0.350 2.408 7.936
1.289 0.414 1.402
```

## Properties
The density of states at the Fermi level is 1.225 states/eV/atom. Its formation energy is -0.54 eV/atom. The energy is -0.36684 Ry per atom. The energy above the most stable polymorph in this dataset comes out at 0.0923 eV/atom.